AcLu2Pd: relaxed, PBE-GGA.

Cell: 3.579 3.579 8.788 Å, 90.00 90.00 90.00°
Element x y z (fractional)
Ac 0.500 0.500 0.500
Lu 0.000 0.000 0.817
Lu 0.000 0.000 0.183
Pd 0.500 0.500 0.000

Summary:
Energy ... -20.00 eV for the cell shown
Energy relative to the lowest polymorph listed for this composition ... 0 meV/atom
Fermi-level density of states ... 4.25 states/eV per cell
Formation energy ... -0.4145 eV per atom
Total magnetization ... 0.000 Bohr magnetons per cell